(1)
Computed, not measured: crystalline NaCuF2 at its relaxed geometry at the PBE level of DFT.

a = 7.4425 Å, b = 4.4898 Å, c = 7.0977 Å
α = 90.00°, β = 90.00°, γ = 90.00°
With the nearest neighbours (Å) after each atom.
Space group Pnma (No. 62)
Inequivalent atoms, fractional coordinates:
1 Na 0.0655 0.2500 0.1253 x4  5 F 2.23-2.37
2 Cu 0.0959 0.2500 0.5792 x4  2 F 1.84-1.85
3 F 0.0173 0.7500 0.1895 x4  1 Cu 1.85
4 F 0.2470 0.2500 0.3750 x4  1 Cu 1.84

## Properties
The value obtained for the total magnetic moment is 0.00 μB per atom. The uncorrected formation energy comes out at -1839 meV per atom.

---

(2)
Computed, not measured: crystalline Ho2Mg2Os at its relaxed geometry at the PBE level of DFT.

a = 3.4027 Å, b = 3.4027 Å, c = 20.4987 Å
α = 90.00°, β = 90.00°, γ = 90.00°
With the nearest neighbours (Å) after each atom.
Space group I4/mmm (No. 139)
Inequivalent atoms, fractional coordinates:
1 Ho 0.0000 0.0000 0.0804 x4  4 Os 2.92
2 Mg 0.0000 0.0000 0.2974 x4  8 Mg 3.09-3.40
3 Os 0.0000 0.0000 0.5000 x2  8 Ho 2.92

## Properties
The value obtained for the total magnetic moment is 0.00 μB per atom. For the formation energy, the calculation gives -0.20 eV per atom.

---

(3)
Computed, not measured: crystalline Zn5Cu2Ni2 at its relaxed geometry at the PBE level of DFT.

a = 13.0173 Å, b = 6.3364 Å, c = 6.0643 Å
α = 90.00°, β = 90.00°, γ = 90.00°
With the nearest neighbours (Å) after each atom.
Space group Cmce (No. 64)
Inequivalent atoms, fractional coordinates:
1 Zn 0.0000 0.0000 0.0000 x4  4 Ni 2.39-2.43
2 Zn 0.1347 0.1644 0.3354 x16  3 Cu 2.47-2.55, 3 Ni 2.47-2.61
3 Cu 0.2112 0.0000 0.0000 x8  7 Zn 2.47-2.75
4 Ni 0.0000 0.1392 0.6333 x8  8 Zn 2.39-2.61, 1 Ni 2.39

## Properties
The value obtained for the total magnetic moment is 0.00 μB per atom. For the formation energy, the calculation gives 0.03 eV per atom.

---

(4)
Computed, not measured: crystalline KMnNi3 at its relaxed geometry at the PBE level of DFT.

a = 4.4061 Å, b = 4.4061 Å, c = 4.4061 Å
α = 90.00°, β = 90.00°, γ = 90.00°
With the nearest neighbours (Å) after each atom.
Space group Pm-3m (No. 221)
Inequivalent atoms, fractional coordinates:
1 K 0.0000 0.0000 0.0000 x1  6 Ni 2.20
2 Mn 0.5000 0.5000 0.5000 x1  12 Ni 3.12
3 Ni 0.0000 0.0000 0.5000 x3  2 K 2.20

## Properties
The value obtained for the total magnetic moment is 0.04 μB per atom. For the formation energy, the calculation gives 2.53 eV per atom.

---

(5)
Computed, not measured: crystalline Ce2Sn3Ge3 at its relaxed geometry at the PBE level of DFT.

a = 4.3505 Å, b = 4.5551 Å, c = 9.3608 Å
α = 90.00°, β = 90.00°, γ = 90.00°
With the nearest neighbours (Å) after each atom.
Space group Pmmm (No. 47)
Inequivalent atoms, fractional coordinates:
1 Ce 0.0000 0.0000 0.2394 x2  6 Ge 3.12-3.15, 6 Sn 3.20-3.34
2 Sn 0.0000 0.5000 0.0000 x1  8 Ge 3.13-3.15, 4 Ce 3.20
3 Sn 0.0000 0.5000 0.5000 x1  4 Sn 3.15, 4 Ge 3.26, 4 Ce 3.34
4 Sn 0.5000 0.0000 0.5000 x1  4 Sn 3.15, 4 Ce 3.27, 4 Ge 3.33
5 Ge 0.5000 0.0000 0.0000 x1  4 Ce 3.12, 4 Sn 3.15, 4 Ge 3.21
6 Ge 0.5000 0.5000 0.2410 x2  6 Sn 3.13-3.33, 4 Ce 3.15, 2 Ge 3.21

## Properties
The value obtained for the total magnetic moment is 0.00 μB per atom. For the formation energy, the calculation gives -0.51 eV per atom.

---

(6)
Computed, not measured: crystalline RbTiSbO4 at its relaxed geometry at the PBE level of DFT.

a = 6.8251 Å, b = 6.0080 Å, c = 7.8348 Å
α = 90.00°, β = 112.49°, γ = 90.00°
With the nearest neighbours (Å) after each atom.
Space group P2_1/m (No. 11)
Inequivalent atoms, fractional coordinates:
1 Rb 0.1936 0.2500 0.4555 x2  8 O 2.89-3.22
2 Ti 0.3960 0.7500 0.7375 x2  4 O 1.73-1.87
3 Sb 0.2332 0.7500 0.1356 x2  3 O 1.97-1.99
4 O 0.2141 0.7500 0.5111 x2  1 Ti 1.73
5 O 0.2323 0.7500 0.8812 x2  1 Ti 1.87, 1 Sb 1.99
6 O 0.4387 0.5062 0.2348 x4  1 Ti 1.87, 1 Sb 1.97

## Properties
The value obtained for the total magnetic moment is 0.00 μB per atom. The uncorrected formation energy comes out at -2179 meV per atom.

---

(7)
Computed, not measured: crystalline DyLu2Hf at its relaxed geometry at the PBE level of DFT.

a = 4.7826 Å, b = 4.7826 Å, c = 4.7892 Å
α = 90.00°, β = 90.00°, γ = 90.00°
With the nearest neighbours (Å) after each atom.
Space group P4/mmm (No. 123)
Inequivalent atoms, fractional coordinates:
1 Dy 0.0000 0.0000 0.0000 x1  4 Hf 3.38, 8 Lu 3.38
2 Lu 0.0000 0.5000 0.5000 x2  4 Lu 3.38, 4 Hf 3.38, 4 Dy 3.38
3 Hf 0.5000 0.5000 0.0000 x1  4 Dy 3.38, 8 Lu 3.38

## Properties
The value obtained for the total magnetic moment is 0.00 μB per atom. For the formation energy, the calculation gives 0.13 eV per atom.

---

(8)
Computed, not measured: crystalline Ce3Er5As8 at its relaxed geometry at the PBE level of DFT.

a = 8.2674 Å, b = 8.2674 Å, c = 20.2167 Å
α = 90.00°, β = 90.00°, γ = 120.00°
With the nearest neighbours (Å) after each atom.
Space group R-3m (No. 166, hexagonal axes)
Inequivalent atoms, fractional coordinates:
1 Ce 0.0000 0.5000 0.0000 x9  6 As 2.95
2 Er 0.0000 0.0000 0.0000 x3  6 As 2.92
3 Er 0.0000 0.0000 0.5000 x3  6 As 2.92
4 Er 0.0000 0.5000 0.5000 x9  6 As 2.89-2.90
5 As 0.0000 0.0000 0.2475 x6  3 Er 2.89, 3 Ce 2.95
6 As 0.0027 0.5013 0.7514 x18  4 Er 2.90-2.92, 2 Ce 2.95

## Properties
The value obtained for the total magnetic moment is 0.11 μB per atom. For the formation energy, the calculation gives -1.48 eV per atom.

---

(9)
Computed, not measured: crystalline ZnAg3Au12 at its relaxed geometry at the PBE level of DFT.

a = 4.1289 Å, b = 4.1289 Å, c = 16.6881 Å
α = 90.00°, β = 90.00°, γ = 90.00°
With the nearest neighbours (Å) after each atom.
Space group P4/mmm (No. 123)
Inequivalent atoms, fractional coordinates:
1 Zn 0.0000 0.0000 0.0000 x1  12 Au 2.89-2.92
2 Ag 0.0000 0.0000 0.2488 x2  12 Au 2.92-2.97
3 Ag 0.0000 0.0000 0.5000 x1  12 Au 2.92-2.95
4 Au 0.0000 0.5000 0.1211 x4  2 Zn 2.89, 8 Au 2.89-2.95, 2 Ag 2.97
5 Au 0.0000 0.5000 0.3740 x4  8 Au 2.92-2.95, 4 Ag 2.94-2.95
6 Au 0.5000 0.5000 0.0000 x1  8 Au 2.89, 4 Zn 2.92
7 Au 0.5000 0.5000 0.2475 x2  4 Ag 2.92, 8 Au 2.95
8 Au 0.5000 0.5000 0.5000 x1  4 Ag 2.92, 8 Au 2.95

## Properties
The value obtained for the total magnetic moment is 0.00 μB per atom. For the formation energy, the calculation gives -0.06 eV per atom.

---

(10)
Computed, not measured: crystalline TaBe2Pt3 at its relaxed geometry at the PBE level of DFT.

a = 2.8181 Å, b = 2.8181 Å, c = 9.9320 Å
α = 90.00°, β = 90.00°, γ = 90.00°
With the nearest neighbours (Å) after each atom.
Space group P4/mmm (No. 123)
Inequivalent atoms, fractional coordinates:
1 Ta 0.0000 0.0000 0.0000 x1  4 Ta 2.82, 8 Pt 2.87
2 Be 0.0000 0.0000 0.3528 x2  8 Pt 2.46-2.47
3 Pt 0.5000 0.5000 0.2079 x2  4 Be 2.46
4 Pt 0.5000 0.5000 0.5000 x1  8 Be 2.47

## Properties
The value obtained for the total magnetic moment is 0.00 μB per atom. For the formation energy, the calculation gives -0.76 eV per atom.

---

(11)
Computed, not measured: crystalline Tl2CdCu at its relaxed geometry at the PBE level of DFT.

a = 4.8435 Å, b = 4.8435 Å, c = 8.2293 Å
α = 90.00°, β = 90.00°, γ = 90.00°
With the nearest neighbours (Å) after each atom.
Space group I4/mmm (No. 139)
Inequivalent atoms, fractional coordinates:
1 Tl 0.0000 0.5000 0.2500 x4  4 Cd 3.18, 4 Cu 3.18, 4 Tl 3.42
2 Cd 0.0000 0.0000 0.0000 x2  8 Tl 3.18, 4 Cu 3.42
3 Cu 0.0000 0.0000 0.5000 x2  8 Tl 3.18, 4 Cd 3.42

## Properties
The value obtained for the total magnetic moment is 0.00 μB per atom. For the formation energy, the calculation gives 0.27 eV per atom.

---

(12)
Computed, not measured: crystalline TbCu3Se3 at its relaxed geometry at the PBE level of DFT.

a = 7.0151 Å, b = 7.0151 Å, c = 19.8542 Å
α = 90.00°, β = 90.00°, γ = 120.00°
With the nearest neighbours (Å) after each atom.
Space group R-3 (No. 148, hexagonal axes)
Inequivalent atoms, fractional coordinates:
1 Tb 0.0000 0.0000 0.1663 x6  6 Se 2.88-2.89
2 Cu 0.0049 0.6477 0.6245 x18  4 Se 2.43-2.54
3 Se 0.0020 0.6802 0.4178 x18  4 Cu 2.43-2.54

## Properties
The value obtained for the total magnetic moment is 0.00 μB per atom. The uncorrected formation energy comes out at -743 meV per atom.